Entry from Alexandria: a geometry-optimized CaIn2Bi structure (PBE).

```
4
Lattice="4.0969 0.0000 0.0000 0.0000 4.0969 0.0000 0.0000 0.0000 7.0310" Properties=species:S:1:pos:R:3 pbc="T T T"
Ca 0.0000 0.0000 0.0000
In 2.0484 2.0484 1.9021
In 2.0484 2.0484 5.1289
Bi 0.0000 0.0000 3.5155
```

Results
The formation energy is -0.2357 eV/atom. The energy comes out at -3.076 eV per atom.

---

Entry from Alexandria: a geometry-optimized CaIn2Bi structure (PBE).

```
4
Lattice="4.7120 0.0000 0.0000 0.0000 4.7120 0.0000 0.0000 0.0000 5.1547" Properties=species:S:1:pos:R:3 pbc="T T T"
Ca 0.0000 0.0000 0.0000
In 0.0000 2.3560 2.5773
In 2.3560 0.0000 2.5773
Bi 2.3560 2.3560 0.0000
```

Results
The formation energy is -0.3836 eV/atom. The energy comes out at -3.223 eV per atom.

---

Entry from Alexandria: a geometry-optimized CaInBi3 structure (PBE).

```
10
Lattice="6.2090 0.0000 0.0000 0.0000 6.7014 0.0000 -1.9272 0.0000 7.8127" Properties=species:S:1:pos:R:3 pbc="T T T"
Ca 0.7250 1.6754 3.1167
Ca 3.5568 5.0261 4.6960
In 0.8312 1.6754 6.5162
In 3.4506 5.0261 1.2965
Bi 0.0000 0.0000 0.0000
Bi 0.0000 3.3507 0.0000
Bi 0.4300 5.0261 2.9445
Bi 0.4382 5.0261 6.1887
Bi 3.8435 1.6754 1.6239
Bi 3.8518 1.6754 4.8682
```

Results
The formation energy is -0.2329 eV/atom. The energy comes out at -3.509 eV per atom.

---

Entry from Alexandria: a geometry-optimized Ca2In2Bi3 structure (PBE).

```
7
Lattice="4.2531 -2.5812 0.0000 4.2531 2.5812 0.0000 -2.6789 0.0000 10.8486" Properties=species:S:1:pos:R:3 pbc="T T T"
Ca 0.0405 0.0000 3.9543
Ca 5.7869 0.0000 6.8943
In 2.7632 0.0000 1.0487
In 3.0641 0.0000 9.7999
Bi 0.1592 0.0000 8.7605
Bi 2.9137 0.0000 5.4243
Bi 5.6682 0.0000 2.0881
```

Results
The formation energy is -0.3862 eV/atom. The energy comes out at -3.404 eV per atom.

---

Entry from Alexandria: a geometry-optimized CaIn2Bi2 structure (PBE).

```
10
Lattice="8.5982 0.0000 0.0000 0.0000 8.5982 0.0000 0.0000 0.0000 4.2645" Properties=species:S:1:pos:R:3 pbc="T T T"
Ca 0.0000 0.0000 0.0000
Ca 4.2991 4.2991 0.0000
In 1.2991 3.0000 2.1323
In 3.0000 7.2991 2.1323
In 5.5981 1.2991 2.1323
In 7.2991 5.5981 2.1323
Bi 1.2484 5.5474 0.0000
Bi 3.0507 1.2484 0.0000
Bi 5.5474 7.3498 0.0000
Bi 7.3498 3.0507 0.0000
```

Results
The formation energy is -0.1752 eV/atom. The energy comes out at -3.223 eV per atom.

---

Entry from Alexandria: a geometry-optimized Ca2InBi4 structure (PBE).

```
7
Lattice="4.8856 -4.7825 0.0000 4.8856 4.7825 0.0000 -4.8418 0.0000 4.9024" Properties=species:S:1:pos:R:3 pbc="T T T"
Ca 2.4428 2.3912 0.0000
Ca 2.4428 -2.3912 0.0000
In 0.0000 0.0000 0.0000
Bi -2.4209 0.0000 2.4512
Bi 0.0219 2.3912 2.4512
Bi 0.0219 -2.3912 2.4512
Bi 2.4647 0.0000 2.4512
```

Results
The formation energy is -0.4285 eV/atom. The energy comes out at -3.609 eV per atom.

---

- Which of these has the lowest energy?
  Ca2InBi4

---

- What is the formula in the fourth record?
  Ca2In2Bi3

---

- energy of number 5 (CaIn2Bi2)?
  -3.223 eV per atom

---

- The highest energy belongs to which entry?
  number 1